Compound: AgOsRu
Source: Alexandria
Functional: PBE-GGA
Structure: relaxed

The space group is P3m1 (No. 156) and the conventional cell measures 2.7593, 2.7593 and 6.9914 Å, with angles of 90.00, 90.00 and 120.00 degrees. The distinct sites, in fractional coordinates, are Ag at (0.0000, 0.0000, 0.0000), Os at (0.6667, 0.3333, 0.3564) and Ru at (0.3333, 0.6667, 0.6463).

The calculation puts the total energy at -7.452 eV per atom. The crystal system is trigonal. The energy of formation is 0.3339 eV per atom. The value obtained for the spin magnetization is 0.00 μB per cell. The density of states at the Fermi level comes out at 2.91 states/eV per cell. The calculation puts the energy above the lowest structure with this stoichiometry at 0.000 eV/f.u.

=====

Compound: La4Zr3
Source: Alexandria
Functional: PBE-GGA
Structure: relaxed

The space group is P6/mmm (No. 191) and the conventional cell measures 5.9813, 5.9813 and 6.7256 Å, with angles of 90.00, 90.00 and 120.00 degrees. The distinct sites, in fractional coordinates, are La at (0.0000, 0.0000, 0.2314), La at (0.3333, 0.6667, 0.0000) and Zr at (0.0000, 0.5000, 0.5000).

The calculation puts the total energy at -6.225 eV per atom. The crystal system is hexagonal. The energy of formation is 0.2543 eV per atom. The value obtained for the spin magnetization is 0.73 μB per cell. The density of states at the Fermi level comes out at 17.85 states/eV per cell. The calculation puts the energy above the lowest structure with this stoichiometry at 0.573 eV/f.u.

=====

Compound: LiYHoNi
Source: Alexandria
Functional: PBE-GGA
Structure: relaxed

The space group is F-43m (No. 216) and the conventional cell measures 6.960, 6.960 and 6.960 Å, with angles of 90.00, 90.00 and 90.00 degrees. The distinct sites, in fractional coordinates, are Li at (0.000, 0.000, 0.000), Y at (0.250, 0.250, 0.250), Ho at (0.250, 0.250, 0.750) and Ni at (0.000, 0.000, 0.500).

The calculation puts the total energy at -4.828 eV per atom. The crystal system is cubic. The energy of formation is -0.1442 eV per atom. The value obtained for the spin magnetization is 0.00 μB per cell. The density of states at the Fermi level comes out at 13.38 states/eV per cell.

=====

Compound: Tm2CdOs
Source: Alexandria
Functional: PBE-GGA
Structure: relaxed

The space group is P4/mmm (No. 123) and the conventional cell measures 3.408, 3.408 and 7.663 Å, with angles of 90.00, 90.00 and 90.00 degrees. The distinct sites, in fractional coordinates, are Tm at (0.000, 0.000, 0.212), Cd at (0.500, 0.500, 0.500) and Os at (0.500, 0.500, 0.000).

The calculation puts the total energy at -5.641 eV per atom. The crystal system is tetragonal. The energy of formation is -0.3694 eV per atom. The value obtained for the spin magnetization is 0.00 μB per cell. The density of states at the Fermi level comes out at 2.63 states/eV per cell. The calculation puts the energy above the lowest structure with this stoichiometry at 0.000 eV/f.u.